i.
# In2Ag2I7

A geometry-optimized In2Ag2I7 structure (PBE-GGA, Alexandria via LeMat-Bulk).

Results
- DOS at the Fermi energy: 7.80 states/eV per cell
- Symmetry: C2/c (15)
- Magnetic moment: 0.0 μB/f.u.

POSCAR file:
```
In2Ag2I7
1.0
-4.998 -2.058 6.704
5.609 -6.291 1.766
6.924 13.043 3.693
I In Ag
14 4 4
Cartesian
-3.017 1.103 7.511
0.436 -2.673 5.762
5.614 3.165 6.810
1.922 1.529 5.352
3.905 -5.443 4.533
2.242 -1.429 1.675
3.631 10.137 7.630
4.785 -1.577 7.265
7.100 7.367 6.400
2.751 6.271 4.897
10.553 3.591 4.651
1.602 3.379 9.063
5.294 6.123 10.487
5.934 1.315 3.099
2.198 -2.579 8.043
1.124 1.052 2.624
6.412 3.642 9.539
5.338 7.273 4.120
2.909 4.140 6.683
2.143 -3.457 3.582
4.627 0.554 5.479
5.393 8.151 8.580
```

=====

ii.
# In2Ag2I7

A geometry-optimized In2Ag2I7 structure (PBE-GGA, Alexandria via LeMat-Bulk).

Results
- DOS at the Fermi energy: 3.85 states/eV per cell
- Symmetry: C2/m (12)
- Magnetic moment: 0.0 μB/f.u.

POSCAR file:
```
In2Ag2I7
1.0
8.002 0.408 0.466
-0.251 8.652 -1.165
-0.251 -2.305 8.421
In I Ag
2 7 2
Cartesian
4.628 4.751 5.431
2.873 2.004 2.291
6.105 6.838 4.067
6.105 3.121 7.319
1.856 3.989 4.561
1.395 3.634 0.403
4.001 0.204 0.233
1.395 -0.084 3.655
5.645 2.765 3.161
-0.251 1.701 4.916
-0.251 4.646 2.340
```

=====

Stability, highest: i